# 1
Compound: BaMn2Rh
Source: Alexandria via LeMat-Bulk
Functional: PBE
Structure: optimized geometry

abc: 5.9227 8.0518 3.3965
angles: 90.00 90.00 90.00
Closest atoms and distances in Å follow each position.
Space group Cmmm (No. 65)
Unique sites:
1 Ba 0.0000 0.0000 0.0000 x2  2 Rh 2.96, 8 Mn 3.02
2 Mn 0.2500 0.2500 0.5000 x4  2 Mn 2.96, 4 Ba 3.02, 4 Rh 3.02
3 Rh 0.0000 0.5000 0.0000 x2  2 Ba 2.96, 8 Mn 3.02

Results
Calculated formation energy: 0.72 eV per atom

---

# 2
Compound: ScFe4
Source: Alexandria via LeMat-Bulk
Functional: PBE
Structure: optimized geometry

abc: 3.8177 3.8177 9.2966
angles: 90.00 90.00 90.00
Closest atoms and distances in Å follow each position.
Space group I4/mmm (No. 139)
Unique sites:
1 Sc 0.0000 0.0000 0.0000 x2  16 Fe 2.89-3.01
2 Fe 0.0000 0.0000 0.3876 x4  5 Fe 2.09-2.30
3 Fe 0.0000 0.5000 0.2500 x4  4 Fe 2.30

Results
Calculated formation energy: 0.06 eV per atom
Energy above the lowest structure with this stoichiometry: 0.00 eV per formula unit

---

# 3
Compound: Li4TiS4
Source: Alexandria via LeMat-Bulk
Functional: PBE
Structure: optimized geometry

abc: 5.8871 5.8871 10.8471
angles: 90.00 90.00 90.00
Closest atoms and distances in Å follow each position.
Space group I-42m (No. 121)
Unique sites:
1 Li 0.0000 0.0000 0.2194 x4  4 S 2.53-2.55
2 Li 0.0000 0.5000 0.0000 x4  4 S 2.47
3 Ti 0.0000 0.0000 0.5000 x2  4 S 2.26
4 S 0.2216 0.2216 0.6204 x8  1 Ti 2.26, 2 Li 2.47

Results
Formation energy (no corrections): -1322 meV per atom
Energy above the lowest structure with this stoichiometry: 0.03 eV per formula unit

---

# 4
Compound: CeThTcI
Source: Alexandria via LeMat-Bulk
Functional: PBE
Structure: optimized geometry

abc: 4.1078 4.1078 24.7273
angles: 90.00 90.00 120.00
Closest atoms and distances in Å follow each position.
Space group R3m (No. 160, hexagonal axes)
Unique sites:
1 Ce 0.0000 0.0000 0.0000 x3  3 Tc 2.76
2 Th 0.0000 0.0000 0.2135 x3  3 Tc 2.83
3 Tc 0.0000 0.0000 0.6095 x3  3 Ce 2.76, 3 Th 2.83
4 I 0.0000 0.0000 0.7737 x3  3 Th 3.54, 3 Ce 3.55

Results
Formation energy (no corrections): -467 meV per atom

---

Results for total moment: 16.29; 8.52; 0.00; 0.77 (in μB per cell, following the order of the records).